[1]
DFT (PBE-GGA) results for Mg2BeCr after structural relaxation.

```
Mg2BeCr
1.0
-3.497 3.497 2.557
3.497 -3.497 2.557
3.497 3.497 -2.557
Mg Be Cr
4 2 2
direct
0.092 0.625 0.967
0.375 0.342 0.467
0.658 0.125 0.033
0.875 0.908 0.533
0.000 0.000 0.000
0.750 0.250 0.500
0.250 0.750 0.500
0.500 0.500 0.000
```

Summary:
D(E_F)	0.1785	states/eV/atom
magnetic moment	0.000	μB per atom
space-group type	I-42d, No. 122
calculated formation energy	0.907	eV per atom


[2]
DFT (PBE-GGA) results for NdScIrPt after structural relaxation.

```
NdScIrPt
1.0
0.000 3.435 3.435
3.435 0.000 3.435
3.435 3.435 0.000
Nd Sc Ir Pt
1 1 1 1
direct
0.000 0.000 0.000
0.500 0.500 0.500
0.250 0.250 0.250
0.750 0.750 0.750
```

Summary:
D(E_F)	0.3781	states/eV/atom
magnetic moment	0.000	μB per atom
space-group type	F-43m, No. 216
calculated formation energy	-0.856	eV per atom


[3]
DFT (PBE-GGA) results for BAsSN2 after structural relaxation.

```
BAsSN2
1.0
3.255 0.000 0.000
0.000 3.255 0.000
0.000 0.000 7.219
B As S N
1 1 1 2
direct
0.000 0.000 0.000
0.500 0.500 0.500
0.000 0.000 0.500
0.000 0.500 0.000
0.500 0.000 0.000
```

Summary:
excess energy over the best structure of this formula in the dataset	0.000	eV/atom
D(E_F)	0.5509	states/eV/atom
magnetic moment	0.144	μB per atom
formation energy from raw total energies	1198	meV/atom
space-group type	P4/mmm, No. 123


[4]
DFT (PBE-GGA) results for ScIn2S after structural relaxation.

```
ScIn2S
1.0
-4.050 4.050 2.881
4.050 -4.050 2.881
4.050 4.050 -2.881
Sc In S
2 4 2
direct
0.000 0.000 0.000
0.750 0.250 0.500
0.150 0.625 0.025
0.375 0.400 0.525
0.600 0.125 0.975
0.875 0.850 0.475
0.250 0.750 0.500
0.500 0.500 0.000
```

Summary:
D(E_F)	0.8320	states/eV/atom
magnetic moment	0.000	μB per atom
formation energy from raw total energies	-245	meV/atom
space-group type	I-42d, No. 122


[5]
DFT (PBE-GGA) results for U2AlH8 after structural relaxation.

```
U2AlH8
1.0
2.927 -5.380 0.000
2.927 5.380 0.000
-2.333 0.000 2.878
U Al H
2 1 8
direct
0.166 0.834 0.000
0.834 0.166 0.000
0.500 0.500 0.000
0.118 0.409 0.762
0.278 0.278 0.273
0.302 0.698 0.500
0.409 0.118 0.762
0.591 0.882 0.238
0.698 0.302 0.500
0.722 0.722 0.727
0.882 0.591 0.238
```

Summary:
D(E_F)	0.6664	states/eV/atom
magnetic moment	0.435	μB per atom
uncorrected energy	-4.9668	eV/atom
space-group type	C2/m, No. 12


[6]
DFT (PBE-GGA) results for Pm6Ho8Pb after structural relaxation.

```
Pm6Ho8Pb
1.0
9.400 0.000 0.000
-4.700 8.141 0.000
0.000 0.000 6.446
Pm Ho Pb
6 8 1
direct
0.090 0.450 0.320
0.359 0.910 0.320
0.450 0.359 0.680
0.550 0.641 0.320
0.641 0.090 0.680
0.910 0.550 0.680
0.037 0.264 0.817
0.227 0.963 0.817
0.264 0.227 0.183
0.333 0.667 0.842
0.667 0.333 0.158
0.736 0.773 0.817
0.773 0.037 0.183
0.963 0.736 0.183
0.000 0.000 0.500
```

Summary:
D(E_F)	1.2595	states/eV/atom
magnetic moment	0.000	μB per atom
space-group type	P-3, No. 147
calculated formation energy	0.067	eV per atom


[7]
DFT (PBE-GGA) results for SrHfCd2Fe after structural relaxation.

```
SrHfCd2Fe
1.0
5.635 0.000 0.000
0.000 5.635 0.000
0.000 0.000 5.646
Sr Hf Cd Fe
1 1 2 1
direct
0.000 0.000 0.000
0.000 0.000 0.500
0.000 0.500 0.000
0.500 0.000 0.000
0.500 0.500 0.500
```

Summary:
D(E_F)	1.4350	states/eV/atom
magnetic moment	0.577	μB per atom
space-group type	P4/mmm, No. 123
calculated formation energy	1.960	eV per atom


[8]
DFT (PBE-GGA) results for Ac2USb after structural relaxation.

```
Ac2USb
1.0
5.142 0.000 0.000
0.000 5.142 0.000
0.000 0.000 4.900
Ac U Sb
2 1 1
direct
0.000 0.500 0.000
0.500 0.000 0.000
0.000 0.000 0.500
0.500 0.500 0.500
```

Summary:
excess energy over the best structure of this formula in the dataset	0.000	eV/atom
D(E_F)	2.9470	states/eV/atom
magnetic moment	0.905	μB per atom
formation energy from raw total energies	3	meV/atom
space-group type	P4/mmm, No. 123


[9]
DFT (PBE-GGA) results for CeZrInPb after structural relaxation.

```
CeZrInPb
1.0
0.000 3.743 3.743
3.743 0.000 3.743
3.743 3.743 0.000
Ce Zr In Pb
1 1 1 1
direct
0.000 0.000 0.000
0.500 0.500 0.500
0.250 0.250 0.250
0.750 0.750 0.750
```

Summary:
D(E_F)	1.9644	states/eV/atom
magnetic moment	0.579	μB per atom
space-group type	F-43m, No. 216
calculated formation energy	-0.189	eV per atom


[10]
DFT (PBE-GGA) results for CsTe3Br after structural relaxation.

```
CsTe3Br
1.0
5.831 0.000 0.000
0.000 5.831 0.000
0.000 0.000 5.831
Cs Te Br
1 3 1
direct
0.000 0.000 0.000
0.000 0.500 0.500
0.500 0.000 0.500
0.500 0.500 0.000
0.500 0.500 0.500
```

Summary:
D(E_F)	0.9061	states/eV/atom
magnetic moment	0.000	μB per atom
formation energy from raw total energies	80	meV/atom
space-group type	Pm-3m, No. 221


[11]
DFT (PBE-GGA) results for Mg2ScSb after structural relaxation.

```
Mg2ScSb
1.0
3.855 0.000 0.000
0.000 3.855 0.000
0.000 0.000 6.286
Mg Sc Sb
2 1 1
direct
0.000 0.000 0.000
0.500 0.500 0.234
0.500 0.500 0.725
0.000 0.000 0.515
```

Summary:
D(E_F)	0.5407	states/eV/atom
magnetic moment	0.000	μB per atom
formation energy from raw total energies	-320	meV/atom
space-group type	P4mm, No. 99


[12]
DFT (PBE-GGA) results for HgGe2Pt2 after structural relaxation.

```
HgGe2Pt2
1.0
-2.043 2.043 5.817
2.043 -2.043 5.817
2.043 2.043 -5.817
Hg Ge Pt
1 2 2
direct
0.000 0.000 0.000
0.250 0.750 0.500
0.750 0.250 0.500
0.381 0.381 0.000
0.619 0.619 0.000
```

Summary:
excess energy over the best structure of this formula in the dataset	0.046	eV/atom
D(E_F)	0.4317	states/eV/atom
magnetic moment	0.000	μB per atom
space-group type	I4/mmm, No. 139
calculated formation energy	-0.141	eV per atom